Entry 1:
# Pm2Nd8Dy3 | Alexandria via LeMat-Bulk | GGA-PBE | relaxed
data_Pm2Nd8Dy3
_cell_length_a 13.441
_cell_length_b 11.863
_cell_length_c 6.166
_cell_angle_alpha 90.00
_cell_angle_beta 113.81
_cell_angle_gamma 90.00
_symmetry_space_group_name_H-M 'C 1 2/m 1'
_symmetry_Int_Tables_number 12
loop_
_symmetry_equiv_pos_as_xyz
'x,y,z'
'-x,-y,-z'
'-x,y,-z'
'x,-y,z'
'x+1/2,y+1/2,z'
'-x+1/2,-y+1/2,-z'
'-x+1/2,y+1/2,-z'
'x+1/2,-y+1/2,z'
loop_
_atom_site_label
_atom_site_type_symbol
_atom_site_fract_x
_atom_site_fract_y
_atom_site_fract_z
_atom_site_occupancy
Pm1 Pm 0.191 0.000 0.342 1
Nd1 Nd 0.084 0.000 0.762 1
Nd2 Nd 0.139 0.500 0.098 1
Nd3 Nd 0.164 0.260 0.659 1
Dy1 Dy 0.000 0.235 0.000 1
Dy2 Dy 0.000 0.500 0.500 1
# * formation energy: 0.16 eV/atom
# * DOS(E_F): 21.1 states/eV/f.u.
# * electronic total energy: -118.71 eV per cell

Entry 2:
# Pm16Nd6Dy7 | Alexandria via LeMat-Bulk | GGA-PBE | relaxed
data_Pm16Nd6Dy7
_cell_length_a 16.036
_cell_length_b 16.036
_cell_length_c 16.036
_cell_angle_alpha 90.00
_cell_angle_beta 90.00
_cell_angle_gamma 90.00
_symmetry_space_group_name_H-M 'F m -3 m'
_symmetry_Int_Tables_number 225
_symmetry_space_group_name_Hall '-F 4 2 3'
loop_
_atom_site_label
_atom_site_type_symbol
_atom_site_fract_x
_atom_site_fract_y
_atom_site_fract_z
_atom_site_occupancy
Pm1 Pm 0.126 0.126 0.126 1
Pm2 Pm 0.151 0.151 0.349 1
Nd1 Nd 0.000 0.000 0.272 1
Dy1 Dy 0.000 0.000 0.000 1
Dy2 Dy 0.000 0.250 0.250 1
# * formation energy: 0.21 eV/atom
# * DOS(E_F): 43.2 states/eV/f.u.
# * electronic total energy: -523.14 eV per cell

Entry 3:
# PmNd10Dy4 | Alexandria via LeMat-Bulk | GGA-PBE | relaxed
data_PmNd10Dy4
_cell_length_a 12.403
_cell_length_b 12.403
_cell_length_c 7.826
_cell_angle_alpha 90.00
_cell_angle_beta 90.00
_cell_angle_gamma 90.00
_symmetry_space_group_name_H-M 'I 4/m'
_symmetry_Int_Tables_number 87
_symmetry_space_group_name_Hall '-I 4'
loop_
_atom_site_label
_atom_site_type_symbol
_atom_site_fract_x
_atom_site_fract_y
_atom_site_fract_z
_atom_site_occupancy
Pm1 Pm 0.000 0.000 0.000 1
Nd1 Nd 0.000 0.500 0.250 1
Nd2 Nd 0.100 0.799 0.251 1
Dy1 Dy 0.100 0.300 0.500 1
# * formation energy: 0.69 eV/atom
# * DOS(E_F): 21.6 states/eV/f.u.
# * electronic total energy: -120.83 eV per cell